## GaReNiPt (PBE)

Data for crystalline GaReNiPt at its relaxed geometry.

a b c (Å): 4.325 4.325 4.325
angles (deg): 60.00 60.00 60.00
Sites, in units of the cell vectors:
Ga 0.000 0.000 0.000
Re 0.500 0.500 0.500
Ni 0.250 0.250 0.250
Pt 0.750 0.750 0.750

Summary:
For the total magnetic moment, the calculation gives 0.253 μB per atom. The symmetry is No. 216. The raw total energy comes out at -6.600 eV per atom.